# 1
A geometry-optimized BaTi2TlCu structure, computed with PBE. Values from VASP.

```
&SYSTEM
  ibrav = 0, nat = 5, ntyp = 4
/
ATOMIC_SPECIES
Ba 137.33 Ba.upf
Ti 47.87 Ti.upf
Tl 204.38 Tl.upf
Cu 63.55 Cu.upf
ATOMIC_POSITIONS angstrom
Ba 0.000 0.000 0.000
Ti 0.000 2.643 3.271
Ti 2.643 0.000 3.271
Tl 0.000 0.000 3.271
Cu 2.643 2.643 0.000
CELL_PARAMETERS angstrom
5.286 0.000 0.000
0.000 5.286 0.000
0.000 0.000 6.542
```

Properties
- density (g cm⁻³) = 4.551
- raw total energy (eV per atom) = -3.688
- symmetry = No. 123

---

# 2
A geometry-optimized Dy2TmOs structure, computed with PBE. Values from VASP.

```
&SYSTEM
  ibrav = 0, nat = 16, ntyp = 3
/
ATOMIC_SPECIES
Dy 162.50 Dy.upf
Tm 168.93 Tm.upf
Os 190.23 Os.upf
ATOMIC_POSITIONS angstrom
Dy 1.289 0.564 1.065
Dy 1.289 3.954 1.065
Dy 2.392 5.082 4.212
Dy 2.392 8.472 4.212
Dy 4.969 0.564 2.082
Dy 4.969 3.954 2.082
Dy 6.073 5.082 5.229
Dy 6.073 8.472 5.229
Tm 0.294 2.259 3.969
Tm 3.387 6.777 0.822
Tm 3.974 2.259 5.473
Tm 7.068 6.777 2.325
Os 0.860 6.777 6.072
Os 2.820 2.259 2.925
Os 4.541 6.777 3.370
Os 6.501 2.259 0.222
CELL_PARAMETERS angstrom
7.361 0.000 0.000
0.000 9.036 0.000
0.000 0.000 6.294
```

Properties
- polymorph energy (0 for the lowest one) (meV/atom) = 0.0
- density (g cm⁻³) = 10.854
- raw total energy (eV per atom) = -6.501
- symmetry = No. 62

---

# 3
A geometry-optimized Li2ScMo structure, computed with PBE. Values from VASP.

```
&SYSTEM
  ibrav = 0, nat = 4, ntyp = 3
/
ATOMIC_SPECIES
Li 6.94 Li.upf
Sc 44.96 Sc.upf
Mo 95.94 Mo.upf
ATOMIC_POSITIONS angstrom
Li 0.000 0.000 0.000
Li 0.000 2.548 2.650
Sc 1.394 0.000 2.512
Mo 0.000 0.000 4.911
CELL_PARAMETERS angstrom
-1.394 2.548 4.684
1.394 -2.548 4.684
1.394 2.548 -4.684
```

Properties
- polymorph energy (0 for the lowest one) (meV/atom) = 183.0
- density (g cm⁻³) = 3.863
- raw total energy (eV per atom) = -4.838
- symmetry = No. 44

---

# 4
A geometry-optimized CrCdNi2 structure, computed with PBE. Values from VASP.

```
&SYSTEM
  ibrav = 0, nat = 4, ntyp = 3
/
ATOMIC_SPECIES
Cr 52.00 Cr.upf
Cd 112.41 Cd.upf
Ni 58.69 Ni.upf
ATOMIC_POSITIONS angstrom
Cr 0.000 0.000 0.000
Cd 0.000 1.866 1.991
Ni 1.866 0.000 1.991
Ni 0.000 0.000 3.982
CELL_PARAMETERS angstrom
-1.866 1.866 3.982
1.866 -1.866 3.982
1.866 1.866 -3.982
```

Properties
- density (g cm⁻³) = 8.437
- raw total energy (eV per atom) = -5.274
- symmetry = No. 119

---

# 5
A geometry-optimized CeNbNi2As2 structure, computed with PBE. Values from VASP.

```
&SYSTEM
  ibrav = 0, nat = 6, ntyp = 4
/
ATOMIC_SPECIES
Ce 140.12 Ce.upf
Nb 92.91 Nb.upf
Ni 58.69 Ni.upf
As 74.92 As.upf
ATOMIC_POSITIONS angstrom
Ce 0.000 0.000 0.000
Nb 0.000 0.000 3.692
Ni 0.000 2.305 5.102
Ni 1.997 1.153 2.281
As 0.000 2.305 1.932
As 1.997 1.153 5.451
CELL_PARAMETERS angstrom
3.993 0.000 0.000
-1.997 3.458 0.000
0.000 0.000 7.383
```

Properties
- density (g cm⁻³) = 8.148
- raw total energy (eV per atom) = -6.858
- symmetry = No. 164

---

# 6
A geometry-optimized BaAsPd2Au2 structure, computed with PBE. Values from VASP.

```
&SYSTEM
  ibrav = 0, nat = 6, ntyp = 4
/
ATOMIC_SPECIES
Ba 137.33 Ba.upf
As 74.92 As.upf
Pd 106.42 Pd.upf
Au 196.97 Au.upf
ATOMIC_POSITIONS angstrom
Ba 0.000 0.000 0.000
As 0.000 0.000 3.120
Pd 0.000 2.379 3.120
Pd 2.379 0.000 3.120
Au 2.379 2.379 1.385
Au 2.379 2.379 4.855
CELL_PARAMETERS angstrom
4.758 0.000 0.000
0.000 4.758 0.000
0.000 0.000 6.240
```

Properties
- density (g cm⁻³) = 9.628
- raw total energy (eV per atom) = -4.331
- symmetry = No. 123

---

# 7
A geometry-optimized Tl2InPt structure, computed with PBE. Values from VASP.

```
&SYSTEM
  ibrav = 0, nat = 4, ntyp = 3
/
ATOMIC_SPECIES
Tl 204.38 Tl.upf
In 114.82 In.upf
Pt 195.08 Pt.upf
ATOMIC_POSITIONS angstrom
Tl 2.529 0.000 0.766
Tl 11.575 0.000 3.500
In -0.642 0.000 2.133
Pt 7.694 0.000 0.000
CELL_PARAMETERS angstrom
7.694 -1.618 0.000
7.694 1.618 0.000
-1.284 0.000 4.266
```

Properties
- polymorph energy (0 for the lowest one) (meV/atom) = 0.0
- density (g cm⁻³) = 11.234
- raw total energy (eV per atom) = -3.489
- symmetry = No. 12

---

# 8
A geometry-optimized KZn3Pt structure, computed with PBE. Values from VASP.

```
&SYSTEM
  ibrav = 0, nat = 5, ntyp = 3
/
ATOMIC_SPECIES
K 39.10 K.upf
Zn 65.41 Zn.upf
Pt 195.08 Pt.upf
ATOMIC_POSITIONS angstrom
K 0.000 0.000 0.000
Zn 0.000 0.000 2.989
Zn 0.000 2.989 0.000
Zn 2.989 0.000 0.000
Pt 2.989 2.989 2.989
CELL_PARAMETERS angstrom
5.979 0.000 0.000
0.000 5.979 0.000
0.000 0.000 5.979
```

Properties
- polymorph energy (0 for the lowest one) (meV/atom) = 1677.5
- density (g cm⁻³) = 3.344
- raw total energy (eV per atom) = -0.809
- symmetry = No. 221

---

# 9
A geometry-optimized NaPr2Cr2N6 structure, computed with PBE. Values from VASP.

```
&SYSTEM
  ibrav = 0, nat = 11, ntyp = 4
/
ATOMIC_SPECIES
Na 22.99 Na.upf
Pr 140.91 Pr.upf
Cr 52.00 Cr.upf
N 14.01 N.upf
ATOMIC_POSITIONS angstrom
Na 0.000 0.000 0.000
Pr 0.004 0.057 3.869
Pr 2.834 1.910 1.827
Cr 0.082 4.028 1.703
Cr 2.756 -2.061 3.993
N -1.354 2.203 3.829
N 0.079 2.725 0.581
N 1.468 -0.177 1.833
N 1.370 2.144 3.863
N 2.759 -0.757 5.115
N 4.192 -0.236 1.867
CELL_PARAMETERS angstrom
5.674 0.000 0.000
-2.728 5.216 0.000
-0.109 -3.248 5.696
```

Properties
- density (g cm⁻³) = 4.855
- raw total energy (eV per atom) = -7.839
- symmetry = No. 2

---

# 10
A geometry-optimized K2AlSe structure, computed with PBE. Values from VASP.

```
&SYSTEM
  ibrav = 0, nat = 4, ntyp = 3
/
ATOMIC_SPECIES
K 39.10 K.upf
Al 26.98 Al.upf
Se 78.96 Se.upf
ATOMIC_POSITIONS angstrom
K 0.000 0.000 0.000
K 0.000 2.791 2.348
Al 0.000 0.000 4.741
Se 1.947 0.000 3.004
CELL_PARAMETERS angstrom
-1.947 2.791 6.090
1.947 -2.791 6.090
1.947 2.791 -6.090
```

Properties
- polymorph energy (0 for the lowest one) (meV/atom) = 27.4
- density (g cm⁻³) = 2.310
- raw total energy (eV per atom) = -2.796
- symmetry = No. 44

---

# 11
A geometry-optimized CdRu2W structure, computed with PBE. Values from VASP.

```
&SYSTEM
  ibrav = 0, nat = 4, ntyp = 3
/
ATOMIC_SPECIES
Cd 112.41 Cd.upf
Ru 101.07 Ru.upf
W 183.84 W.upf
ATOMIC_POSITIONS angstrom
Cd 0.000 0.000 0.000
Ru 4.082 0.000 2.293
Ru 7.125 0.000 0.971
W 1.457 0.000 3.120
CELL_PARAMETERS angstrom
4.847 -1.414 0.000
4.847 1.414 0.000
-1.105 0.000 4.638
```

Properties
- density (g cm⁻³) = 13.012
- raw total energy (eV per atom) = -7.762
- symmetry = No. 8

---

# 12
A geometry-optimized ZnSb2Se structure, computed with PBE. Values from VASP.

```
&SYSTEM
  ibrav = 0, nat = 4, ntyp = 3
/
ATOMIC_SPECIES
Zn 65.41 Zn.upf
Sb 121.76 Sb.upf
Se 78.96 Se.upf
ATOMIC_POSITIONS angstrom
Zn 0.000 0.000 0.000
Sb 3.600 3.600 3.600
Sb 5.400 5.400 5.400
Se 1.800 1.800 1.800
CELL_PARAMETERS angstrom
0.000 3.600 3.600
3.600 0.000 3.600
3.600 3.600 0.000
```

Properties
- polymorph energy (0 for the lowest one) (meV/atom) = 397.2
- density (g cm⁻³) = 6.902
- raw total energy (eV per atom) = -3.049
- symmetry = No. 216

---

# 13
A geometry-optimized KAc2YTe4 structure, computed with PBE. Values from VASP.

```
&SYSTEM
  ibrav = 0, nat = 8, ntyp = 4
/
ATOMIC_SPECIES
K 39.10 K.upf
Ac 227.00 Ac.upf
Y 88.91 Y.upf
Te 127.60 Te.upf
ATOMIC_POSITIONS angstrom
K 0.000 0.000 0.000
Ac 2.686 0.000 3.875
Ac 4.015 2.319 0.000
Y -1.330 2.319 3.875
Te -0.082 0.000 5.689
Te 1.263 2.319 2.023
Te 4.109 2.319 5.726
Te 5.453 0.000 2.060
CELL_PARAMETERS angstrom
8.031 0.000 0.000
0.000 4.639 0.000
-2.660 0.000 7.749
```

Properties
- density (g cm⁻³) = 6.284
- raw total energy (eV per atom) = -4.939
- symmetry = No. 10

---

# 14
A geometry-optimized Nd2TlGa2 structure, computed with PBE. Values from VASP.

```
&SYSTEM
  ibrav = 0, nat = 5, ntyp = 3
/
ATOMIC_SPECIES
Nd 144.24 Nd.upf
Tl 204.38 Tl.upf
Ga 69.72 Ga.upf
ATOMIC_POSITIONS angstrom
Nd 2.172 5.787 0.000
Nd 2.172 -5.787 0.000
Tl 2.172 0.000 1.891
Ga 2.172 3.175 1.891
Ga 2.172 -3.175 1.891
CELL_PARAMETERS angstrom
2.172 -7.758 0.000
2.172 7.758 0.000
0.000 0.000 3.781
```

Properties
- polymorph energy (0 for the lowest one) (meV/atom) = 0.0
- density (g cm⁻³) = 8.242
- raw total energy (eV per atom) = -4.136
- symmetry = No. 65

---

# 15
A geometry-optimized KSmPt4 structure, computed with PBE. Values from VASP.

```
&SYSTEM
  ibrav = 0, nat = 6, ntyp = 3
/
ATOMIC_SPECIES
K 39.10 K.upf
Sm 150.36 Sm.upf
Pt 195.08 Pt.upf
ATOMIC_POSITIONS angstrom
K 0.000 0.000 0.000
Sm 5.832 5.832 5.832
Pt 2.916 2.916 2.916
Pt 4.860 4.860 2.916
Pt 4.860 2.916 4.860
Pt 2.916 4.860 4.860
CELL_PARAMETERS angstrom
0.000 3.888 3.888
3.888 0.000 3.888
3.888 3.888 0.000
```

Properties
- density (g cm⁻³) = 13.698
- raw total energy (eV per atom) = -5.677
- symmetry = No. 216

---

# 16
A geometry-optimized Er2Cu3Ge4Pd structure, computed with PBE. Values from VASP.

```
&SYSTEM
  ibrav = 0, nat = 10, ntyp = 4
/
ATOMIC_SPECIES
Er 167.26 Er.upf
Cu 63.55 Cu.upf
Ge 72.64 Ge.upf
Pd 106.42 Pd.upf
ATOMIC_POSITIONS angstrom
Er 0.000 2.056 2.548
Er 2.056 0.000 7.718
Cu 0.000 0.000 0.000
Cu 0.000 2.056 6.505
Cu 2.056 0.000 3.760
Ge 0.000 0.000 5.133
Ge 0.000 2.056 8.846
Ge 2.056 0.000 1.419
Ge 2.056 2.056 5.133
Pd 2.056 2.056 0.000
CELL_PARAMETERS angstrom
4.111 0.000 0.000
0.000 4.111 0.000
0.000 0.000 10.265
```

Properties
- density (g cm⁻³) = 8.825
- raw total energy (eV per atom) = -5.022
- symmetry = No. 115

---

# 17
A geometry-optimized Y2Tl2OsO6 structure, computed with PBE. Values from VASP.

```
&SYSTEM
  ibrav = 0, nat = 11, ntyp = 4
/
ATOMIC_SPECIES
Y 88.91 Y.upf
Tl 204.38 Tl.upf
Os 190.23 Os.upf
O 16.00 O.upf
ATOMIC_POSITIONS angstrom
Y 2.886 3.388 0.000
Y 2.886 -3.388 0.000
Tl 2.626 1.578 3.570
Tl 2.626 -1.578 3.570
Os 2.886 0.000 0.000
O 1.514 1.532 6.095
O 1.165 0.000 1.049
O 1.514 -1.532 6.095
O 3.738 1.532 1.044
O 4.087 0.000 6.090
O 3.738 -1.532 1.044
CELL_PARAMETERS angstrom
2.886 -5.051 0.000
2.886 5.051 0.000
-0.519 0.000 7.139
```

Properties
- density (g cm⁻³) = 6.963
- raw total energy (eV per atom) = -7.193
- symmetry = No. 12

---

# 18
A geometry-optimized CsSeBr3 structure, computed with PBE. Values from VASP.

```
&SYSTEM
  ibrav = 0, nat = 10, ntyp = 3
/
ATOMIC_SPECIES
Cs 132.91 Cs.upf
Se 78.96 Se.upf
Br 79.90 Br.upf
ATOMIC_POSITIONS angstrom
Cs 3.740 9.983 4.335
Cs 3.740 -9.983 1.445
Se 3.740 3.815 4.335
Se 3.740 -3.815 1.445
Br 0.000 0.000 0.000
Br 0.000 0.000 2.890
Br 1.590 4.995 4.335
Br 1.590 -4.995 1.445
Br 5.890 4.995 4.335
Br 5.890 -4.995 1.445
CELL_PARAMETERS angstrom
3.740 -13.217 0.000
3.740 13.217 0.000
0.000 0.000 5.780
```

Properties
- density (g cm⁻³) = 2.625
- raw total energy (eV per atom) = -2.453
- symmetry = No. 63

---

# 19
A geometry-optimized PRu structure, computed with PBE. Values from VASP.

```
&SYSTEM
  ibrav = 0, nat = 8, ntyp = 2
/
ATOMIC_SPECIES
P 30.97 P.upf
Ru 101.07 Ru.upf
ATOMIC_POSITIONS angstrom
P 1.061 0.789 0.397
P 1.720 2.368 3.502
P 3.842 0.789 2.708
P 4.501 2.368 5.813
Ru 0.051 2.368 1.823
Ru 2.730 0.789 4.929
Ru 2.833 2.368 1.282
Ru 5.511 0.789 4.387
CELL_PARAMETERS angstrom
5.562 0.000 0.000
0.000 3.158 0.000
0.000 0.000 6.211
```

Properties
- polymorph energy (0 for the lowest one) (meV/atom) = 0.0
- density (g cm⁻³) = 8.040
- raw total energy (eV per atom) = -7.904
- symmetry = No. 62

---

# 20
A geometry-optimized AcPmHo4 structure, computed with PBE. Values from VASP.

```
&SYSTEM
  ibrav = 0, nat = 12, ntyp = 3
/
ATOMIC_SPECIES
Ac 227.00 Ac.upf
Pm 145.00 Pm.upf
Ho 164.93 Ho.upf
ATOMIC_POSITIONS angstrom
Ac 2.644 5.714 4.238
Ac 4.458 -5.714 1.413
Pm 4.458 4.130 1.413
Pm 2.644 -4.130 4.238
Ho 0.870 2.460 4.259
Ho 2.731 1.022 1.453
Ho 0.917 -1.022 4.279
Ho 4.419 2.460 4.217
Ho 2.684 -2.460 1.434
Ho 6.185 1.022 1.372
Ho 4.371 -1.022 4.197
Ho 6.233 -2.460 1.392
CELL_PARAMETERS angstrom
5.365 -6.683 0.000
5.365 6.683 0.000
-3.628 0.000 5.651
```

Properties
- polymorph energy (0 for the lowest one) (meV/atom) = 0.0
- density (g cm⁻³) = 8.456
- raw total energy (eV per atom) = -4.467
- symmetry = No. 15